First-principles (PBE) data for a relaxed structure of Tl2In5Bi3, as listed in the Alexandria database.

```
Tl2In5Bi3
1.0
6.086 -7.362 0.000
6.086 7.362 0.000
-0.976 0.000 6.918
Tl In Bi
4 10 6
direct
0.111 0.662 0.909
0.338 0.889 0.591
0.662 0.111 0.409
0.889 0.338 0.091
0.004 0.996 0.750
0.229 0.336 0.975
0.235 0.546 0.357
0.336 0.229 0.475
0.454 0.765 0.143
0.546 0.235 0.857
0.664 0.771 0.525
0.765 0.454 0.643
0.771 0.664 0.025
0.996 0.004 0.250
0.024 0.284 0.552
0.284 0.024 0.052
0.438 0.562 0.750
0.562 0.438 0.250
0.716 0.976 0.948
0.976 0.716 0.448
```

Computed properties:
E_tot: -2.999 eV per atom
E_form: 0.01 eV per atom
Crystal system: monoclinic